DFT (PBE-GGA) results for crystalline Ho4ThPd15 at its relaxed geometry.

abc: 4.141 4.141 20.604
angles: 90.00 90.00 90.00
Atoms (fractional coordinates):
Pd 0.500 0.000 0.898
Pd 0.500 0.000 0.500
Pd 0.500 0.500 0.202
Ho 0.000 0.000 0.401
Pd 0.500 0.500 0.599
Pd 0.000 0.500 0.699
Pd 0.500 0.000 0.301
Pd 0.500 0.500 0.401
Pd 0.000 0.500 0.500
Pd 0.500 0.000 0.699
Pd 0.500 0.000 0.102
Pd 0.000 0.500 0.102
Pd 0.500 0.500 0.798
Ho 0.000 0.000 0.797
Th 0.000 0.000 0.000
Pd 0.500 0.500 0.000
Pd 0.000 0.500 0.898
Ho 0.000 0.000 0.599
Ho 0.000 0.000 0.203
Pd 0.000 0.500 0.301

Output
Its density of states at the Fermi level is 0.52 states/eV/atom. As for the space group: No. 123. Its uncorrected energy is -6.10 eV per atom. The calculation puts the magnetization at 0.00 Bohr magnetons per cell.